This record from Alexandria describes a geometry-optimized Pr5Te5Rh structure. The functional is PBE-GGA.

The magnetization is 0.000 μB per atom. Its total DFT energy (no corrections) is -121.56 eV per cell. As for the uncorrected formation energy: -1256.6 meV per atom.

The structure belongs to space group C2/m (No. 12); the cell edges are 14.273, 6.405 and 8.881 Å and the angles 90.00°, 108.95° and 90.00°. The distinct sites, in fractional coordinates, are Pr at (0.000, 0.000, 0.000), Pr at (0.148, 0.500, 0.850), Pr at (0.153, 0.500, 0.314), Te at (0.000, 0.500, 0.500), Te at (0.165, 0.000, 0.826), Te at (0.182, 0.000, 0.331) and Rh at (0.000, 0.500, 0.000).



This record from Alexandria describes a geometry-optimized CeErCo structure. The functional is PBE-GGA.

The magnetization is 0.171 μB per atom. Its total DFT energy (no corrections) is -70.49 eV per cell. The calculation puts the energy relative to the lowest polymorph listed for this composition at 179 meV/atom.

The structure belongs to space group F-43m (No. 216); the cell edges are 6.603, 6.603 and 6.603 Å and the angles 90.00°, 90.00° and 90.00°. The distinct sites, in fractional coordinates, are Ce at (0.000, 0.000, 0.000), Er at (0.000, 0.000, 0.500) and Co at (0.250, 0.250, 0.250).



This record from Alexandria describes a geometry-optimized Ce3YSb4 structure. The functional is PBE-GGA.

The magnetization is 0.307 μB per atom. Its total DFT energy (no corrections) is -98.64 eV per cell. As for the uncorrected formation energy: -1070.8 meV per atom. The calculation puts the energy relative to the lowest polymorph listed for this composition at 0 meV/atom.

The structure belongs to space group Cmmm (No. 65); the cell edges are 8.936, 12.646 and 4.478 Å and the angles 90.00°, 90.00° and 90.00°. The distinct sites, in fractional coordinates, are Ce at (0.000, 0.000, 0.000), Ce at (0.250, 0.250, 0.500), Y at (0.000, 0.500, 0.000), Sb at (0.000, 0.252, 0.000) and Sb at (0.246, 0.500, 0.500).



This record from Alexandria describes a geometry-optimized DyTmGaNi structure. The functional is PBE-GGA.

The magnetization is 0.000 μB per atom. Its total DFT energy (no corrections) is -39.86 eV per cell. The calculation puts the energy relative to the lowest polymorph listed for this composition at 0 meV/atom.

The structure belongs to space group Amm2 (No. 38); the cell edges are 4.327, 3.680 and 10.805 Å and the angles 90.00°, 90.00° and 90.00°. The distinct sites, in fractional coordinates, are Dy at (0.000, 0.000, 0.000), Tm at (0.500, 0.000, 0.718), Ga at (0.000, 0.000, 0.284) and Ni at (0.500, 0.000, 0.422).



This record from Alexandria describes a geometry-optimized HoAl3NiPt structure. The functional is PBE-GGA.

The magnetization is 0.000 μB per atom. Its total DFT energy (no corrections) is -125.92 eV per cell.

The structure belongs to space group Cmcm (No. 63); the cell edges are 6.171, 12.019 and 5.684 Å and the angles 90.00°, 90.00° and 90.00°. The distinct sites, in fractional coordinates, are Ho at (0.000, 0.228, 0.250), Al at (0.000, 0.357, 0.750), Al at (0.211, 0.000, 0.000), Ni at (0.000, 0.442, 0.250) and Pt at (0.000, 0.148, 0.750).



This record from Alexandria describes a geometry-optimized Pu4Rh4Au structure. The functional is PBE-GGA.

The magnetization is 2.115 μB per atom. Its total DFT energy (no corrections) is -185.41 eV per cell.

The structure belongs to space group I4/m (No. 87); the cell edges are 8.645, 8.645 and 4.534 Å and the angles 90.00°, 90.00° and 90.00°. The distinct sites, in fractional coordinates, are Pu at (0.172, 0.827, 0.000), Rh at (0.000, 0.345, 0.500) and Au at (0.000, 0.000, 0.500).



This record from Alexandria describes a geometry-optimized Nb2CrSn structure. The functional is PBE-GGA.

The magnetization is 0.658 μB per atom. Its total DFT energy (no corrections) is -126.04 eV per cell.

The structure belongs to space group I-42d (No. 122); the cell edges are 3.915, 3.915 and 20.314 Å and the angles 90.00°, 90.00° and 90.00°. The distinct sites, in fractional coordinates, are Nb at (0.247, 0.250, 0.125), Cr at (0.000, 0.000, 0.000) and Sn at (0.000, 0.000, 0.500).



This record from Alexandria describes a geometry-optimized LaTeBrN2 structure. The functional is PBE-GGA.

The magnetization is 0.295 μB per atom. Its total DFT energy (no corrections) is -20.65 eV per cell. As for the uncorrected formation energy: 1147.6 meV per atom. The calculation puts the energy relative to the lowest polymorph listed for this composition at 420 meV/atom.

The structure belongs to space group P4/mmm (No. 123); the cell edges are 4.488, 4.488 and 5.380 Å and the angles 90.00°, 90.00° and 90.00°. The distinct sites, in fractional coordinates, are La at (0.000, 0.000, 0.000), Te at (0.500, 0.500, 0.000), Br at (0.500, 0.500, 0.500) and N at (0.000, 0.500, 0.500).



This record from Alexandria describes a geometry-optimized LaSbOs2 structure. The functional is PBE-GGA.

The magnetization is 0.000 μB per atom. Its total DFT energy (no corrections) is -30.09 eV per cell. As for the uncorrected formation energy: 356.1 meV per atom.

The structure belongs to space group P4/mmm (No. 123); the cell edges are 4.535, 4.535 and 3.834 Å and the angles 90.00°, 90.00° and 90.00°. The distinct sites, in fractional coordinates, are La at (0.000, 0.000, 0.000), Sb at (0.500, 0.500, 0.000) and Os at (0.000, 0.500, 0.500).



This record from Alexandria describes a geometry-optimized La2GaSbIr structure. The functional is PBE-GGA.

The magnetization is 0.000 μB per atom. Its total DFT energy (no corrections) is -29.92 eV per cell. As for the uncorrected formation energy: -810.4 meV per atom.

The structure belongs to space group P4/mmm (No. 123); the cell edges are 5.562, 5.562 and 4.789 Å and the angles 90.00°, 90.00° and 90.00°. The distinct sites, in fractional coordinates, are La at (0.000, 0.500, 0.000), Ga at (0.000, 0.000, 0.500), Sb at (0.500, 0.500, 0.500) and Ir at (0.000, 0.000, 0.000).



This record from Alexandria describes a geometry-optimized TbBe2GaAu4 structure. The functional is PBE-GGA.

The magnetization is 0.000 μB per atom. Its total DFT energy (no corrections) is -91.57 eV per cell.

The structure belongs to space group R-3m (No. 166, hexagonal axes); the cell edges are 4.1239, 4.1239 and 28.9308 Å and the angles 90.00°, 90.00° and 120.00°. The distinct sites, in fractional coordinates, are Tb at (0.0000, 0.0000, 0.0000), Be at (0.0000, 0.0000, 0.2504), Ga at (0.0000, 0.0000, 0.5000), Au at (0.0000, 0.0000, 0.1218) and Au at (0.0000, 0.0000, 0.3973).



This record from Alexandria describes a geometry-optimized Lu2PdAu structure. The functional is PBE-GGA.

The magnetization is 0.000 μB per atom. Its total DFT energy (no corrections) is -84.92 eV per cell.

The structure belongs to space group Fm-3m (No. 225); the cell edges are 6.965, 6.965 and 6.965 Å and the angles 90.00°, 90.00° and 90.00°. The distinct sites, in fractional coordinates, are Lu at (0.250, 0.250, 0.250), Pd at (0.000, 0.000, 0.000) and Au at (0.000, 0.000, 0.500).



This record from Alexandria describes a geometry-optimized Nd2Ga3Ag6 structure. The functional is PBE-GGA.

The magnetization is 0.000 μB per atom. Its total DFT energy (no corrections) is -38.65 eV per cell.

The structure belongs to space group P-62m (No. 189); the cell edges are 7.8148, 7.8148 and 4.4118 Å and the angles 90.00°, 90.00° and 120.00°. The distinct sites, in fractional coordinates, are Nd at (0.3333, 0.6667, 0.0000), Ga at (0.0000, 0.3902, 0.5000), Ag at (0.0000, 0.2070, 0.0000) and Ag at (0.0000, 0.7187, 0.5000).



This record from Alexandria describes a geometry-optimized Ba3ReBr structure. The functional is PBE-GGA.

The magnetization is 0.000 μB per atom. Its total DFT energy (no corrections) is -19.20 eV per cell. As for the uncorrected formation energy: 137.2 meV per atom. The calculation puts the energy relative to the lowest polymorph listed for this composition at 0 meV/atom.

The structure belongs to space group Pm-3m (No. 221); the cell edges are 5.998, 5.998 and 5.998 Å and the angles 90.00°, 90.00° and 90.00°. The distinct sites, in fractional coordinates, are Ba at (0.000, 0.000, 0.500), Re at (0.000, 0.000, 0.000) and Br at (0.500, 0.500, 0.500).



This record from Alexandria describes a geometry-optimized DyEr12Th5 structure. The functional is PBE-GGA.

The magnetization is 0.000 μB per atom. Its total DFT energy (no corrections) is -191.49 eV per cell.

The structure belongs to space group C2/m (No. 12); the cell edges are 18.385, 10.558 and 6.125 Å and the angles 90.00°, 109.46° and 90.00°. The distinct sites, in fractional coordinates, are Dy at (0.000, 0.000, 0.000), Er at (0.000, 0.166, 0.500), Er at (0.000, 0.336, 0.000), Er at (0.167, 0.166, 0.337), Er at (0.167, 0.334, 0.832), Th at (0.000, 0.500, 0.500), Th at (0.167, 0.000, 0.830) and Th at (0.167, 0.500, 0.332).



This record from Alexandria describes a geometry-optimized Al2Cu5Ni structure. The functional is PBE-GGA.

The magnetization is 0.000 μB per atom. Its total DFT energy (no corrections) is -71.29 eV per cell. The calculation puts the energy relative to the lowest polymorph listed for this composition at 0 meV/atom.

The structure belongs to space group Pbam (No. 55); the cell edges are 5.140, 10.303 and 3.711 Å and the angles 90.00°, 90.00° and 90.00°. The distinct sites, in fractional coordinates, are Al at (0.228, 0.119, 0.000), Cu at (0.000, 0.500, 0.500), Cu at (0.019, 0.749, 0.500), Cu at (0.235, 0.371, 0.000) and Ni at (0.000, 0.000, 0.500).



This record from Alexandria describes a geometry-optimized BaGeAs2Pd structure. The functional is PBE-GGA.

The magnetization is 0.000 μB per atom. Its total DFT energy (no corrections) is -92.24 eV per cell.

The structure belongs to space group Cmme (No. 67); the cell edges are 6.059, 10.748 and 7.898 Å and the angles 90.00°, 90.00° and 90.00°. The distinct sites, in fractional coordinates, are Ba at (0.000, 0.250, 0.234), Ge at (0.000, 0.000, 0.500), As at (0.000, 0.108, 0.796) and Pd at (0.250, 0.000, 0.000).



This record from Alexandria describes a geometry-optimized KLa3Te structure. The functional is PBE-GGA.

The magnetization is 0.000 μB per atom. Its total DFT energy (no corrections) is -15.53 eV per cell. As for the uncorrected formation energy: 698.3 meV per atom. The calculation puts the energy relative to the lowest polymorph listed for this composition at 844 meV/atom.

The structure belongs to space group Pm-3m (No. 221); the cell edges are 5.589, 5.589 and 5.589 Å and the angles 90.00°, 90.00° and 90.00°. The distinct sites, in fractional coordinates, are K at (0.000, 0.000, 0.000), La at (0.000, 0.000, 0.500) and Te at (0.500, 0.500, 0.500).



This record from Alexandria describes a geometry-optimized TcSe2F structure. The functional is PBE-GGA.

The magnetization is 0.000 μB per atom. Its total DFT energy (no corrections) is -62.63 eV per cell. As for the uncorrected formation energy: -417.9 meV per atom. The calculation puts the energy relative to the lowest polymorph listed for this composition at 0 meV/atom.

The structure belongs to space group R-3m (No. 166, hexagonal axes); the cell edges are 3.3721, 3.3721 and 23.2835 Å and the angles 90.00°, 90.00° and 120.00°. The distinct sites, in fractional coordinates, are Tc at (0.0000, 0.0000, 0.0000), Se at (0.0000, 0.0000, 0.4032) and F at (0.0000, 0.0000, 0.5000).



This record from Alexandria describes a geometry-optimized Pr3Tl2H structure. The functional is PBE-GGA.

The magnetization is 0.000 μB per atom. Its total DFT energy (no corrections) is -96.72 eV per cell.

The structure belongs to space group C2/c (No. 15); the cell edges are 14.634, 6.620 and 6.919 Å and the angles 90.00°, 100.25° and 90.00°. The distinct sites, in fractional coordinates, are Pr at (0.000, 0.085, 0.250), Pr at (0.130, 0.402, 0.611), Tl at (0.179, 0.101, 0.056) and H at (0.000, 0.444, 0.250).